In5Sn2Hg2: optimized geometry, PBE.

- E_form (meV/atom) = 29
- energy above the lowest structure with this stoichiometry (meV per atom) = 0

Lattice parameters (Å, degrees): 6.595 8.271 9.664 81.82 72.22 78.15
Space group P1 (No. 1)
Symmetry-distinct sites (fractional):
In1 0.000 0.000 0.000 (multiplicity 1)
In2 0.010 0.999 0.658 (multiplicity 1)
In3 0.108 0.351 0.767 (multiplicity 1)
In4 0.125 0.335 0.420 (multiplicity 1)
In5 0.311 0.650 0.193 (multiplicity 1)
In6 0.327 0.643 0.530 (multiplicity 1)
In7 0.466 0.004 0.076 (multiplicity 1)
In8 0.659 0.336 0.345 (multiplicity 1)
In9 0.789 0.699 0.892 (multiplicity 1)
In10 0.811 0.695 0.548 (multiplicity 1)
Sn1 0.468 0.011 0.737 (multiplicity 1)
Sn2 0.482 0.997 0.408 (multiplicity 1)
Sn3 0.634 0.341 0.014 (multiplicity 1)
Sn4 0.654 0.342 0.683 (multiplicity 1)
Hg1 0.004 0.993 0.327 (multiplicity 1)
Hg2 0.116 0.344 0.092 (multiplicity 1)
Hg3 0.307 0.659 0.863 (multiplicity 1)
Hg4 0.798 0.685 0.218 (multiplicity 1)


LiEr2UN4: optimized geometry, PBE.

- formation energy (no corrections) (eV/atom) = -1.373

Lattice parameters (Å, degrees): 5.702 3.467 5.781 90.00 106.29 90.00
Space group P2/m (No. 10)
Symmetry-distinct sites (fractional):
Li1 0.000 0.000 0.000 (multiplicity 1)
Er1 0.000 0.500 0.500 (multiplicity 1)
Er2 0.500 0.000 0.500 (multiplicity 1)
U1 0.500 0.500 0.000 (multiplicity 1)
N1 0.250 0.000 0.751 (multiplicity 2)
N2 0.292 0.500 0.246 (multiplicity 2)


LiDy4Tl2: optimized geometry, PBE.

- E_form (meV/atom) = -138
- energy above the lowest structure with this stoichiometry (meV per atom) = 0

Lattice parameters (Å, degrees): 5.2618 5.2618 24.8862 90.00 90.00 120.00
Space group R-3m (No. 166, hexagonal axes)
Symmetry-distinct sites (fractional):
Li1 0.0000 0.0000 0.0000 (multiplicity 3)
Dy1 0.0000 0.0000 0.1318 (multiplicity 6)
Dy2 0.0000 0.0000 0.3868 (multiplicity 6)
Tl1 0.0000 0.0000 0.2591 (multiplicity 6)


NdPu2Sn9: optimized geometry, PBE.

- E_form (meV/atom) = -410

Lattice parameters (Å, degrees): 6.618 4.730 10.480 90.00 108.29 90.00
Space group P2/m (No. 10)
Symmetry-distinct sites (fractional):
Nd1 0.000 0.000 0.000 (multiplicity 1)
Pu1 0.335 0.000 0.669 (multiplicity 2)
Sn1 0.000 0.500 0.500 (multiplicity 1)
Sn2 0.169 0.000 0.338 (multiplicity 2)
Sn3 0.169 0.500 0.830 (multiplicity 2)
Sn4 0.338 0.500 0.170 (multiplicity 2)
Sn5 0.500 0.000 0.000 (multiplicity 1)
Sn6 0.500 0.500 0.500 (multiplicity 1)


Ca3In6Pd5: optimized geometry, PBE.

- E_form (meV/atom) = -614

Lattice parameters (Å, degrees): 4.474 13.704 10.060 90.00 90.00 90.00
Space group Pmmn (No. 59, origin choice 2)
Symmetry-distinct sites (fractional):
Ca1 0.250 0.049 0.249 (multiplicity 4)
Ca2 0.250 0.750 0.279 (multiplicity 2)
In1 0.250 0.069 0.583 (multiplicity 4)
In2 0.250 0.250 0.031 (multiplicity 2)
In3 0.250 0.250 0.398 (multiplicity 2)
In4 0.250 0.592 0.983 (multiplicity 4)
Pd1 0.250 0.094 0.854 (multiplicity 4)
Pd2 0.250 0.636 0.554 (multiplicity 4)
Pd3 0.250 0.750 0.796 (multiplicity 2)


CoSb2Pb: optimized geometry, PBE.

- formation energy (no corrections) (eV/atom) = 0.576

Lattice parameters (Å, degrees): 3.982 4.910 4.952 90.00 90.00 90.00
Space group Pmmm (No. 47)
Symmetry-distinct sites (fractional):
Co1 0.000 0.000 0.000 (multiplicity 1)
Sb1 0.000 0.500 0.500 (multiplicity 1)
Sb2 0.500 0.500 0.000 (multiplicity 1)
Pb1 0.500 0.000 0.500 (multiplicity 1)


| no. | electronic total energy (eV per formula unit) |
| --- | --- |
| 1 | -22.04 |
| 2 | -66.62 |
| 3 | -26.02 |
| 4 | -74.38 |
| 5 | -57.00 |
| 6 | -16.75 |